First-principles (GGA-PBE) data for an optimized crystal structure of GaS, as listed in the Alexandria database.

Summary:
* formation energy from raw total energies: -0.260 eV/atom

Cell lengths 10.204, 10.204, 3.684 Å; angles 90.00, 90.00, 120.00 degrees
Atoms (fractional coordinates):
Ga 0.892 0.341 0.250
Ga 0.551 0.892 0.750
Ga 0.659 0.551 0.250
Ga 0.108 0.659 0.750
Ga 0.449 0.108 0.250
Ga 0.341 0.449 0.750
S 0.681 0.066 0.250
S 0.615 0.681 0.750
S 0.934 0.615 0.250
S 0.319 0.934 0.750
S 0.385 0.319 0.250
S 0.066 0.385 0.750